(1)
DFT (GGA-PBE) results for crystalline Al2VGa at its relaxed geometry.

DFT formation energy: -137 meV/atom
Space group: Pnma, No. 62

Lattice parameters (Å, degrees): 5.2243 3.9146 12.7782 90.00 90.00 90.00
Closest atoms and distances in Å follow each position.
Positions (direct):
Al  0.1545  0.2500  0.0325  3 Ga 2.67-2.89, 3 Al 2.67-2.89, 3 V 2.69-2.72
Al  0.2498  0.2500  0.2551  4 V 2.57-2.59, 2 Al 2.62, 2 Ga 2.84
Al  0.2502  0.7500  0.7551  4 V 2.57-2.59, 2 Al 2.62, 2 Ga 2.84
Al  0.3455  0.7500  0.5325  3 Ga 2.67-2.89, 3 Al 2.67-2.89, 3 V 2.69-2.72
Al  0.6545  0.2500  0.4675  3 Ga 2.67-2.89, 3 Al 2.67-2.89, 3 V 2.69-2.72
Al  0.7498  0.2500  0.2449  4 V 2.57-2.59, 2 Al 2.62, 2 Ga 2.84
Al  0.7502  0.7500  0.7449  4 V 2.57-2.59, 2 Al 2.62, 2 Ga 2.84
Al  0.8455  0.7500  0.9675  3 Ga 2.67-2.89, 3 Al 2.67-2.89, 3 V 2.69-2.72
V  0.0070  0.7500  0.1673  7 Al 2.57-2.72, 3 Ga 2.64-2.71
V  0.4930  0.2500  0.6673  7 Al 2.57-2.72, 3 Ga 2.64-2.71
V  0.5070  0.7500  0.3327  7 Al 2.57-2.72, 3 Ga 2.64-2.71
V  0.9930  0.2500  0.8327  7 Al 2.57-2.72, 3 Ga 2.64-2.71
Ga  0.9999  0.2500  0.6210  3 V 2.64-2.71, 7 Al 2.67-2.91
Ga  0.0001  0.7500  0.3790  3 V 2.64-2.71, 7 Al 2.67-2.91
Ga  0.4999  0.2500  0.8790  3 V 2.64-2.71, 7 Al 2.67-2.91
Ga  0.5001  0.7500  0.1210  3 V 2.64-2.71, 7 Al 2.67-2.91

---

(2)
DFT (GGA-PBE) results for crystalline SrAg2Te at its relaxed geometry.

Space group: I4/mmm, No. 139
Energy above the most stable polymorph in this dataset: 126 meV/atom

Lattice parameters (Å, degrees): 5.9739 5.9739 5.9739 134.88 134.88 65.71
Closest atoms and distances in Å follow each position.
Positions (direct):
Sr  0.0000  0.0000  0.0000  4 Te 3.24, 8 Ag 3.40
Ag  0.2500  0.7500  0.5000  4 Ag 3.24, 4 Te 3.40, 4 Sr 3.40
Ag  0.7500  0.2500  0.5000  4 Ag 3.24, 4 Te 3.40, 4 Sr 3.40
Te  0.5000  0.5000  0.0000  4 Sr 3.24, 8 Ag 3.40

---

(3)
DFT (GGA-PBE) results for crystalline Sm12CdRh6 at its relaxed geometry.

DFT formation energy: -515 meV/atom
Space group: Im-3, No. 204
Energy above the most stable polymorph in this dataset: 0 meV/atom

Lattice parameters (Å, degrees): 8.7401 8.7401 8.7401 109.47 109.47 109.47
Closest atoms and distances in Å follow each position.
Positions (direct):
Sm  0.1165  0.3037  0.8128  1 Rh 2.70
Sm  0.1872  0.4910  0.3037  1 Rh 2.70
Sm  0.1872  0.8835  0.6963  1 Rh 2.70
Sm  0.3037  0.1872  0.4910  1 Rh 2.70
Sm  0.3037  0.8128  0.1165  1 Rh 2.70
Sm  0.4910  0.3037  0.1872  1 Rh 2.70
Sm  0.5090  0.6963  0.8128  1 Rh 2.70
Sm  0.6963  0.1872  0.8835  1 Rh 2.70
Sm  0.6963  0.8128  0.5090  1 Rh 2.70
Sm  0.8128  0.1165  0.3037  1 Rh 2.70
Sm  0.8128  0.5090  0.6963  1 Rh 2.70
Sm  0.8835  0.6963  0.1872  1 Rh 2.70
Cd  0.0000  0.0000  0.0000  12 Sm 3.60
Rh  0.1311  0.5000  0.6311  1 Rh 2.65, 2 Sm 2.70
Rh  0.3689  0.8689  0.5000  1 Rh 2.65, 2 Sm 2.70
Rh  0.5000  0.3689  0.8689  1 Rh 2.65, 2 Sm 2.70
Rh  0.5000  0.6311  0.1311  1 Rh 2.65, 2 Sm 2.70
Rh  0.6311  0.1311  0.5000  1 Rh 2.65, 2 Sm 2.70
Rh  0.8689  0.5000  0.3689  1 Rh 2.65, 2 Sm 2.70

---

(4)
DFT (GGA-PBE) results for crystalline KTcPd at its relaxed geometry.

DFT formation energy: 863 meV/atom
Space group: P-6m2, No. 187
Energy above the most stable polymorph in this dataset: 620 meV/atom

Lattice parameters (Å, degrees): 4.7694 4.7694 7.8319 90.00 90.00 120.00
Closest atoms and distances in Å follow each position.
Positions (direct):
K  0.0000  0.0000  0.0000  6 Tc 2.96, 6 Pd 3.07
K  0.0000  0.0000  0.5000  6 Pd 3.75, 2 K 3.92, 6 Tc 3.94
Tc  0.6667  0.3333  0.1393  1 Tc 2.18
Tc  0.6667  0.3333  0.8607  1 Tc 2.18
Pd  0.3333  0.6667  0.1743  1 Pd 2.73, 3 Tc 2.77
Pd  0.3333  0.6667  0.8257  1 Pd 2.73, 3 Tc 2.77

---

(5)
DFT (GGA-PBE) results for crystalline Te5Pt at its relaxed geometry.

Space group: P2/m, No. 10
Energy above the most stable polymorph in this dataset: 0 meV/atom

Lattice parameters (Å, degrees): 5.2292 4.1600 8.3063 90.00 90.19 90.00
Closest atoms and distances in Å follow each position.
Positions (direct):
Te  0.0000  0.0000  0.0000  4 Te 3.06
Te  0.2587  0.5000  0.7842  1 Pt 2.72
Te  0.2920  0.0000  0.3837  2 Pt 2.76, 1 Te 2.90
Te  0.7080  0.0000  0.6163  2 Pt 2.76, 1 Te 2.90
Te  0.7413  0.5000  0.2158  1 Pt 2.72
Pt  0.0000  0.5000  0.5000  6 Te 2.72-2.76

---

(6)
DFT (GGA-PBE) results for crystalline MgTiAs3 at its relaxed geometry.

DFT formation energy: -13 meV/atom
Space group: Pm-3m, No. 221
Energy above the most stable polymorph in this dataset: 0 meV/atom

Lattice parameters (Å, degrees): 4.8923 4.8923 4.8923 90.00 90.00 90.00
Closest atoms and distances in Å follow each position.
Positions (direct):
Mg  0.0000  0.0000  0.0000  12 As 3.46
Ti  0.5000  0.5000  0.5000  6 As 2.45
As  0.0000  0.5000  0.5000  2 Ti 2.45
As  0.5000  0.0000  0.5000  2 Ti 2.45
As  0.5000  0.5000  0.0000  2 Ti 2.45

---

(7)
DFT (GGA-PBE) results for crystalline FeCo2 at its relaxed geometry.

DFT formation energy: 212 meV/atom
Space group: I4_1/amd, No. 141

Lattice parameters (Å, degrees): 11.6631 11.6631 11.6631 167.91 167.91 17.13
Closest atoms and distances in Å follow each position.
Positions (direct):
Fe  0.3750  0.6250  0.7500  4 Fe 2.46, 8 Co 2.55
Fe  0.6250  0.3750  0.2500  4 Fe 2.46, 8 Co 2.55
Co  0.0442  0.7942  0.2500  6 Co 2.38-2.46, 4 Fe 2.55
Co  0.2058  0.9558  0.2500  6 Co 2.38-2.46, 4 Fe 2.55
Co  0.7942  0.0442  0.7500  6 Co 2.38-2.46, 4 Fe 2.55
Co  0.9558  0.2058  0.7500  6 Co 2.38-2.46, 4 Fe 2.55

---

(8)
DFT (GGA-PBE) results for crystalline LuCdHg2 at its relaxed geometry.

DFT formation energy: -264 meV/atom
Space group: P4/mmm, No. 123
Energy above the most stable polymorph in this dataset: 37 meV/atom

Lattice parameters (Å, degrees): 4.7388 4.7388 4.1721 90.00 90.00 90.00
Closest atoms and distances in Å follow each position.
Positions (direct):
Lu  0.0000  0.0000  0.0000  8 Hg 3.16, 4 Cd 3.35
Cd  0.5000  0.5000  0.0000  8 Hg 3.16, 4 Lu 3.35
Hg  0.0000  0.5000  0.5000  4 Cd 3.16, 4 Lu 3.16, 4 Hg 3.35
Hg  0.5000  0.0000  0.5000  4 Cd 3.16, 4 Lu 3.16, 4 Hg 3.35

---

(9)
DFT (GGA-PBE) results for crystalline AcErO4 at its relaxed geometry.

Space group: P4/mmm, No. 123
Energy above the most stable polymorph in this dataset: 165 meV/atom

Lattice parameters (Å, degrees): 4.1396 4.1396 5.2985 90.00 90.00 90.00
Closest atoms and distances in Å follow each position.
Positions (direct):
Ac  0.0000  0.0000  0.0000  8 O 2.54
Er  0.5000  0.5000  0.5000  8 O 2.38
O  0.0000  0.5000  0.2792  1 O 2.34, 2 Er 2.38, 2 Ac 2.54
O  0.0000  0.5000  0.7208  1 O 2.34, 2 Er 2.38, 2 Ac 2.54
O  0.5000  0.0000  0.2792  1 O 2.34, 2 Er 2.38, 2 Ac 2.54
O  0.5000  0.0000  0.7208  1 O 2.34, 2 Er 2.38, 2 Ac 2.54

---

(10)
DFT (GGA-PBE) results for crystalline SiB2PC at its relaxed geometry.

Space group: Pmm2, No. 25
Energy above the most stable polymorph in this dataset: 123 meV/atom

Lattice parameters (Å, degrees): 2.9909 3.1167 6.2271 90.00 90.00 90.00
Closest atoms and distances in Å follow each position.
Positions (direct):
Si  0.0000  0.0000  0.0000  2 C 1.89, 1 B 1.98
B  0.0000  0.0000  0.6815  2 P 1.85, 1 Si 1.98
B  0.5000  0.5000  0.3047  2 C 1.71
P  0.5000  0.0000  0.5075  4 B 1.85-2.01
C  0.0000  0.5000  0.1707  2 B 1.71, 2 Si 1.89

---

(11)
DFT (GGA-PBE) results for crystalline Tm6MgBi at its relaxed geometry.

DFT formation energy: -34 meV/atom
Space group: R-3m, No. 166

Lattice parameters (Å, degrees): 9.5229 9.5229 9.5229 33.10 33.10 33.10
Closest atoms and distances in Å follow each position.
Positions (direct):
Tm  0.1191  0.1191  0.1191  4 Tm 3.20-3.22, 1 Bi 3.21, 3 Mg 3.38
Tm  0.2383  0.2383  0.2383  7 Tm 3.20-3.45
Tm  0.3748  0.3748  0.3748  3 Bi 3.33, 1 Mg 3.38, 4 Tm 3.45-3.68
Tm  0.6252  0.6252  0.6252  3 Bi 3.33, 1 Mg 3.38, 4 Tm 3.45-3.68
Tm  0.7617  0.7617  0.7617  7 Tm 3.20-3.45
Tm  0.8809  0.8809  0.8809  4 Tm 3.20-3.22, 1 Bi 3.21, 3 Mg 3.38
Mg  0.5000  0.5000  0.5000  14 Tm 3.38-3.68
Bi  0.0000  0.0000  0.0000  8 Tm 3.21-3.33

---

(12)
DFT (GGA-PBE) results for crystalline Hf2AgSe at its relaxed geometry.

DFT total energy: -49.6 eV per cell
Space group: I-42d, No. 122

Lattice parameters (Å, degrees): 7.3861 7.3861 7.3861 131.50 131.50 71.03
Closest atoms and distances in Å follow each position.
Positions (direct):
Hf  0.1213  0.6250  0.9963  2 Se 2.61, 2 Ag 2.63
Hf  0.3750  0.3713  0.4963  2 Se 2.61, 2 Ag 2.63
Hf  0.6287  0.1250  0.0037  2 Se 2.61, 2 Ag 2.63
Hf  0.8750  0.8787  0.5037  2 Se 2.61, 2 Ag 2.63
Ag  0.2500  0.7500  0.5000  4 Hf 2.63
Ag  0.5000  0.5000  0.0000  4 Hf 2.63
Se  0.0000  0.0000  0.0000  4 Hf 2.61
Se  0.7500  0.2500  0.5000  4 Hf 2.61

---

Number 1: total magnetization 0.000 μB/atom. Number 2: total magnetization 0.000 μB/atom. Number 3: total magnetization 0.000 μB/atom. Number 4: total magnetization 0.000 μB/atom. Number 5: total magnetization 0.000 μB/atom. Number 6: total magnetization 0.000 μB/atom. Number 7: total magnetization 1.941 μB/atom. Number 8: total magnetization 0.000 μB/atom. Number 9: total magnetization 0.332 μB/atom. Number 10: total magnetization 0.000 μB/atom. Number 11: total magnetization 0.000 μB/atom. Number 12: total magnetization 0.000 μB/atom.